Density functional theory data (PBE-GGA) for an optimized crystal structure of LuZnRe.

The structure in POSCAR format:
```
LuZnRe
1.0
-3.788 -2.444 0.293
-3.226 0.450 -3.130
-0.769 -3.337 -2.947
Lu Re Zn
1 1 1
direct
0.250 0.250 0.250
0.000 0.000 0.000
0.750 0.750 0.750
```

Properties
Its space-group type is F-43m, No. 216. For the calculated formation energy, the calculation gives 0.748 eV per atom. The calculation puts the magnetization at 1.47 Bohr magnetons per cell.